NaSr2Sb4Au3 after structural relaxation, computed with PBE-GGA.

formation energy without anion corrections = -0.5559 eV/atom
electronic total energy = -3.66 eV/atom

The structure in CIF format:
```
data_NaSr2Sb4Au3
_symmetry_space_group_name_H-M 'P -4 m 2'
_symmetry_Int_Tables_number 115
_symmetry_space_group_name_Hall 'P -4 -2'
_cell_length_a 4.7055
_cell_length_b 4.7055
_cell_length_c 12.3100
_cell_angle_alpha 90.00
_cell_angle_beta 90.00
_cell_angle_gamma 90.00
loop_
_atom_site_label
_atom_site_type_symbol
_atom_site_fract_x
_atom_site_fract_y
_atom_site_fract_z
Na1 Na 0.0000 0.0000 0.0000
Sr1 Sr 0.0000 0.5000 0.7521
Sb1 Sb 0.0000 0.0000 0.5000
Sb2 Sb 0.0000 0.5000 0.1431
Sb3 Sb 0.5000 0.5000 0.5000
Au1 Au 0.0000 0.5000 0.3615
Au2 Au 0.5000 0.5000 0.0000
```